VASP calculation (PBE) on an optimized crystal structure of Mg2GaPt3.

Output
Crystal system ... orthorhombic
ΔE to the lowest computed polymorph ... 0.256 eV per atom
Total magnetic moment ... 0.000 μB per formula unit

Unit cell a=2.890 b=5.236 c=13.654 alpha=90.00 beta=90.00 gamma=90.00
Space group Immm (No. 71)
One atom of each set of equivalent atoms:
Mg1 0.000 0.000 0.176 (multiplicity 4)
Ga1 0.000 0.000 0.500 (multiplicity 2)
Pt1 0.000 0.500 0.153 (multiplicity 4)
Pt2 0.000 0.500 0.500 (multiplicity 2)